# MnSiTcO6

An optimized crystal structure of MnSiTcO6 (PBE+U, the Alexandria database).

Properties
calculated volume = 10.8 Å³/atom
uncorrected energy = -138.08 eV for the cell shown
symmetry = P-31c (163)

Cell lengths 4.935, 4.935, 9.223 Å; angles 90.00, 90.00, 120.00 degrees
Fractional positions:
Mn  0.000  0.000  0.000
Mn  0.000  0.000  0.500
Si  0.667  0.333  0.250
Si  0.333  0.667  0.750
Tc  0.333  0.667  0.250
Tc  0.667  0.333  0.750
O  0.646  0.624  0.141
O  0.978  0.354  0.141
O  0.354  0.978  0.641
O  0.022  0.646  0.859
O  0.376  0.354  0.359
O  0.978  0.624  0.359
O  0.624  0.978  0.859
O  0.646  0.022  0.359
O  0.022  0.376  0.641
O  0.376  0.022  0.141
O  0.624  0.646  0.641
O  0.354  0.376  0.859